No. 1
! SrY3V | Alexandria via LeMat-Bulk | GGA-PBE | relaxed; values from VASP
! D(E_F)   2.79 states/eV/f.u.
! Formation energy from the elements   0.346 eV/atom
&SYSTEM
  ibrav = 0, nat = 5, ntyp = 3
/
ATOMIC_SPECIES
Sr 87.62 Sr.upf
Y 88.91 Y.upf
V 50.94 V.upf
CELL_PARAMETERS angstrom
5.5746 0.0000 0.0000
0.0000 5.5746 0.0000
0.0000 0.0000 5.5746
ATOMIC_POSITIONS crystal
Sr 0.0000 0.0000 0.0000
Y 0.0000 0.5000 0.5000
Y 0.5000 0.0000 0.5000
Y 0.5000 0.5000 0.0000
V 0.5000 0.5000 0.5000

No. 2
! LaHfAg2Mo | Alexandria via LeMat-Bulk | GGA-PBE | relaxed; values from VASP
! D(E_F)   7.13 states/eV/f.u.
! Formation energy from the elements   0.764 eV/atom
&SYSTEM
  ibrav = 0, nat = 5, ntyp = 4
/
ATOMIC_SPECIES
La 138.91 La.upf
Hf 178.49 Hf.upf
Ag 107.87 Ag.upf
Mo 95.94 Mo.upf
CELL_PARAMETERS angstrom
5.2207 0.0000 0.0000
0.0000 5.2207 0.0000
0.0000 0.0000 4.8446
ATOMIC_POSITIONS crystal
La 0.0000 0.0000 0.0000
Hf 0.5000 0.5000 0.5000
Ag 0.0000 0.5000 0.5000
Ag 0.5000 0.0000 0.5000
Mo 0.5000 0.5000 0.0000

No. 3
! TlAsCBr2 | Alexandria via LeMat-Bulk | GGA-PBE | relaxed; values from VASP
! D(E_F)   3.51 states/eV/f.u.
! Formation energy from raw total energies   760 meV per atom
! Energy relative to the lowest polymorph listed for this composition   0.000 kcal/mol of atoms
&SYSTEM
  ibrav = 0, nat = 5, ntyp = 4
/
ATOMIC_SPECIES
Tl 204.38 Tl.upf
As 74.92 As.upf
C 12.01 C.upf
Br 79.90 Br.upf
CELL_PARAMETERS angstrom
5.4791 0.0000 0.0000
0.0000 5.4791 0.0000
0.0000 0.0000 4.1108
ATOMIC_POSITIONS crystal
Tl 0.0000 0.0000 0.0000
As 0.5000 0.5000 0.0000
C 0.5000 0.5000 0.5000
Br 0.0000 0.5000 0.5000
Br 0.5000 0.0000 0.5000

No. 4
! PuTcB2 | Alexandria via LeMat-Bulk | GGA-PBE | relaxed; values from VASP
! D(E_F)   7.16 states/eV/f.u.
! Energy relative to the lowest polymorph listed for this composition   0.000 kcal/mol of atoms
! Formation energy from the elements   -0.400 eV/atom
&SYSTEM
  ibrav = 0, nat = 16, ntyp = 3
/
ATOMIC_SPECIES
Pu 244.00 Pu.upf
Tc 98.00 Tc.upf
B 10.81 B.upf
CELL_PARAMETERS angstrom
5.8326 0.0000 0.0000
0.0000 5.3871 0.0000
0.0000 0.0000 6.4076
ATOMIC_POSITIONS crystal
Pu 0.0008 0.2500 0.1581
Pu 0.4992 0.7500 0.6581
Pu 0.5008 0.2500 0.3419
Pu 0.9992 0.7500 0.8419
Tc 0.1872 0.2500 0.6851
Tc 0.3128 0.7500 0.1851
Tc 0.6872 0.2500 0.8149
Tc 0.8128 0.7500 0.3149
B 0.1288 0.5824 0.4644
B 0.1288 0.9176 0.4644
B 0.3712 0.0824 0.9644
B 0.3712 0.4176 0.9644
B 0.6288 0.5824 0.0356
B 0.6288 0.9176 0.0356
B 0.8712 0.0824 0.5356
B 0.8712 0.4176 0.5356

No. 5
! Pm2YSc | Alexandria via LeMat-Bulk | GGA-PBE | relaxed; values from VASP
! D(E_F)   4.78 states/eV/f.u.
! Energy relative to the lowest polymorph listed for this composition   0.101 kcal/mol of atoms
! Formation energy from the elements   0.044 eV/atom
&SYSTEM
  ibrav = 0, nat = 4, ntyp = 3
/
ATOMIC_SPECIES
Pm 145.00 Pm.upf
Y 88.91 Y.upf
Sc 44.96 Sc.upf
CELL_PARAMETERS angstrom
1.7754 1.0250 11.3699
-1.7754 1.0250 11.3699
0.0000 -2.0501 11.3699
ATOMIC_POSITIONS crystal
Pm 0.2466 0.2466 0.2466
Pm 0.7534 0.7534 0.7534
Y 0.0000 0.0000 0.0000
Sc 0.5000 0.5000 0.5000

No. 6
! Tm4Cu2HgIr | Alexandria via LeMat-Bulk | GGA-PBE | relaxed; values from VASP
! D(E_F)   4.81 states/eV/f.u.
! Formation energy from the elements   -0.528 eV/atom
&SYSTEM
  ibrav = 0, nat = 8, ntyp = 4
/
ATOMIC_SPECIES
Tm 168.93 Tm.upf
Cu 63.55 Cu.upf
Hg 200.59 Hg.upf
Ir 192.22 Ir.upf
CELL_PARAMETERS angstrom
2.4587 1.4195 8.0414
-2.4587 1.4195 8.0414
0.0000 -2.8390 8.0414
ATOMIC_POSITIONS crystal
Tm 0.1179 0.1179 0.1179
Tm 0.3694 0.3694 0.3694
Tm 0.6306 0.6306 0.6306
Tm 0.8821 0.8821 0.8821
Cu 0.2458 0.2458 0.2458
Cu 0.7542 0.7542 0.7542
Hg 0.5000 0.5000 0.5000
Ir 0.0000 0.0000 0.0000

No. 7
! RbNdGaTe3 | Alexandria via LeMat-Bulk | GGA-PBE | relaxed; values from VASP
! D(E_F)   1.84 states/eV/f.u.
! Formation energy from raw total energies   -971 meV per atom
&SYSTEM
  ibrav = 0, nat = 12, ntyp = 4
/
ATOMIC_SPECIES
Rb 85.47 Rb.upf
Nd 144.24 Nd.upf
Ga 69.72 Ga.upf
Te 127.60 Te.upf
CELL_PARAMETERS angstrom
9.8593 0.0000 0.0000
0.0000 4.8155 0.0000
-3.0813 0.0000 10.2557
ATOMIC_POSITIONS crystal
Rb 0.1987 0.2500 0.2361
Rb 0.8013 0.7500 0.7639
Nd 0.3380 0.7500 0.8630
Nd 0.6620 0.2500 0.1370
Ga 0.0937 0.2500 0.5982
Ga 0.9063 0.7500 0.4018
Te 0.1153 0.2500 0.8581
Te 0.2049 0.7500 0.5405
Te 0.4576 0.7500 0.1669
Te 0.5424 0.2500 0.8331
Te 0.7951 0.2500 0.4595
Te 0.8847 0.7500 0.1419

No. 8
! Pr4SbPd | Alexandria via LeMat-Bulk | GGA-PBE | relaxed; values from VASP
! D(E_F)   6.83 states/eV/f.u.
! Formation energy from raw total energies   -505 meV per atom
&SYSTEM
  ibrav = 0, nat = 12, ntyp = 3
/
ATOMIC_SPECIES
Pr 140.91 Pr.upf
Sb 121.76 Sb.upf
Pd 106.42 Pd.upf
CELL_PARAMETERS angstrom
2.8332 -10.5426 0.0000
2.8332 10.5426 0.0000
0.0000 0.0000 6.5032
ATOMIC_POSITIONS crystal
Pr 0.0528 0.9472 0.7500
Pr 0.2058 0.7942 0.5027
Pr 0.2058 0.7942 0.9973
Pr 0.3912 0.6088 0.7500
Pr 0.6088 0.3912 0.2500
Pr 0.7942 0.2058 0.0027
Pr 0.7942 0.2058 0.4973
Pr 0.9472 0.0528 0.2500
Sb 0.3494 0.6506 0.2500
Sb 0.6506 0.3494 0.7500
Pd 0.0818 0.9182 0.2500
Pd 0.9182 0.0818 0.7500

No. 9
! LaCeTm2Sb4 | Alexandria via LeMat-Bulk | GGA-PBE | relaxed; values from VASP
! D(E_F)   6.90 states/eV/f.u.
! Formation energy from raw total energies   -1110 meV per atom
&SYSTEM
  ibrav = 0, nat = 8, ntyp = 4
/
ATOMIC_SPECIES
La 138.91 La.upf
Ce 140.12 Ce.upf
Tm 168.93 Tm.upf
Sb 121.76 Sb.upf
CELL_PARAMETERS angstrom
7.6831 0.0000 0.0000
0.0000 4.4606 0.0000
-2.5856 0.0000 7.2845
ATOMIC_POSITIONS crystal
La 0.0000 0.0000 0.0000
Ce 0.0000 0.5000 0.5000
Tm 0.5000 0.0000 0.5000
Tm 0.5000 0.5000 0.0000
Sb 0.2622 0.0000 0.7508
Sb 0.2642 0.5000 0.2582
Sb 0.7358 0.5000 0.7418
Sb 0.7378 0.0000 0.2492

No. 10
! LiTa4Mo | Alexandria via LeMat-Bulk | GGA-PBE | relaxed; values from VASP
! D(E_F)   6.02 states/eV/f.u.
! Formation energy from the elements   0.625 eV/atom
&SYSTEM
  ibrav = 0, nat = 6, ntyp = 3
/
ATOMIC_SPECIES
Li 6.94 Li.upf
Ta 180.95 Ta.upf
Mo 95.94 Mo.upf
CELL_PARAMETERS angstrom
0.0000 3.8383 3.8383
3.8383 0.0000 3.8383
3.8383 3.8383 0.0000
ATOMIC_POSITIONS crystal
Li 0.0000 0.0000 0.0000
Ta 0.3768 0.3768 0.3768
Ta 0.3768 0.3768 0.8697
Ta 0.3768 0.8697 0.3768
Ta 0.8697 0.3768 0.3768
Mo 0.7500 0.7500 0.7500

No. 11
! Rb2Li2Se | Alexandria via LeMat-Bulk | GGA-PBE | relaxed; values from VASP
! D(E_F)   2.89 states/eV/f.u.
! Formation energy from raw total energies   219 meV per atom
! Energy relative to the lowest polymorph listed for this composition   13.909 kcal/mol of atoms
&SYSTEM
  ibrav = 0, nat = 5, ntyp = 3
/
ATOMIC_SPECIES
Rb 85.47 Rb.upf
Li 6.94 Li.upf
Se 78.96 Se.upf
CELL_PARAMETERS angstrom
-2.5160 2.5160 7.3260
2.5160 -2.5160 7.3260
2.5160 2.5160 -7.3260
ATOMIC_POSITIONS crystal
Rb 0.2500 0.7500 0.5000
Rb 0.7500 0.2500 0.5000
Li 0.0816 0.0816 0.0000
Li 0.9184 0.9184 0.0000
Se 0.5000 0.5000 0.0000

No. 12
! Li2ScHIr | Alexandria via LeMat-Bulk | GGA-PBE | relaxed; values from VASP
! D(E_F)   1.30 states/eV/f.u.
&SYSTEM
  ibrav = 0, nat = 5, ntyp = 4
/
ATOMIC_SPECIES
Li 6.94 Li.upf
Sc 44.96 Sc.upf
H 1.01 H.upf
Ir 192.22 Ir.upf
CELL_PARAMETERS angstrom
3.7692 0.0000 0.0000
0.0000 3.7692 0.0000
0.0000 0.0000 4.4803
ATOMIC_POSITIONS crystal
Li 0.0000 0.5000 0.0000
Li 0.5000 0.0000 0.0000
Sc 0.0000 0.0000 0.5000
H 0.0000 0.0000 0.0000
Ir 0.5000 0.5000 0.5000

No. 13
! YbInPd2 | Alexandria via LeMat-Bulk | GGA-PBE | relaxed; values from VASP
! D(E_F)   1.18 states/eV/f.u.
! Formation energy from the elements   -0.775 eV/atom
&SYSTEM
  ibrav = 0, nat = 4, ntyp = 3
/
ATOMIC_SPECIES
Yb 173.04 Yb.upf
In 114.82 In.upf
Pd 106.42 Pd.upf
CELL_PARAMETERS angstrom
0.0000 3.3633 3.3633
3.3633 0.0000 3.3633
3.3633 3.3633 0.0000
ATOMIC_POSITIONS crystal
Yb 0.0000 0.0000 0.0000
In 0.5000 0.5000 0.5000
Pd 0.2500 0.2500 0.2500
Pd 0.7500 0.7500 0.7500

No. 14
! CdCo2Rh | Alexandria via LeMat-Bulk | GGA-PBE | relaxed; values from VASP
! D(E_F)   6.71 states/eV/f.u.
! Formation energy from the elements   0.219 eV/atom
&SYSTEM
  ibrav = 0, nat = 4, ntyp = 3
/
ATOMIC_SPECIES
Cd 112.41 Cd.upf
Co 58.93 Co.upf
Rh 102.91 Rh.upf
CELL_PARAMETERS angstrom
2.7519 0.0000 0.0000
0.0000 2.7519 0.0000
0.0000 0.0000 7.4670
ATOMIC_POSITIONS crystal
Cd 0.0000 0.0000 0.0000
Co 0.5000 0.5000 0.2724
Co 0.5000 0.5000 0.7276
Rh 0.0000 0.0000 0.5000

No. 15
! YAs2RuBr | Alexandria via LeMat-Bulk | GGA-PBE | relaxed; values from VASP
! D(E_F)   6.83 states/eV/f.u.
! Formation energy from raw total energies   822 meV per atom
! Energy relative to the lowest polymorph listed for this composition   20.857 kcal/mol of atoms
&SYSTEM
  ibrav = 0, nat = 5, ntyp = 4
/
ATOMIC_SPECIES
Y 88.91 Y.upf
As 74.92 As.upf
Ru 101.07 Ru.upf
Br 79.90 Br.upf
CELL_PARAMETERS angstrom
5.3924 0.0000 0.0000
0.0000 5.3924 0.0000
0.0000 0.0000 5.2693
ATOMIC_POSITIONS crystal
Y 0.0000 0.0000 0.0000
As 0.0000 0.5000 0.0000
As 0.5000 0.0000 0.0000
Ru 0.5000 0.5000 0.5000
Br 0.0000 0.0000 0.5000

No. 16
! CoReTc | Alexandria via LeMat-Bulk | GGA-PBE | relaxed; values from VASP
! D(E_F)   4.18 states/eV/f.u.
! Energy relative to the lowest polymorph listed for this composition   3.770 kcal/mol of atoms
! Formation energy from the elements   0.148 eV/atom
&SYSTEM
  ibrav = 0, nat = 3, ntyp = 3
/
ATOMIC_SPECIES
Co 58.93 Co.upf
Re 186.21 Re.upf
Tc 98.00 Tc.upf
CELL_PARAMETERS angstrom
2.7018 0.0000 0.0000
-1.3509 2.3398 0.0000
0.0000 0.0000 6.4763
ATOMIC_POSITIONS crystal
Co 0.0000 0.0000 0.0000
Re 0.6667 0.3333 0.3264
Tc 0.3333 0.6667 0.6735

No. 17
! TbPr4Sn2 | Alexandria via LeMat-Bulk | GGA-PBE | relaxed; values from VASP
! D(E_F)   8.60 states/eV/f.u.
! Formation energy from the elements   -0.264 eV/atom
&SYSTEM
  ibrav = 0, nat = 7, ntyp = 3
/
ATOMIC_SPECIES
Tb 158.93 Tb.upf
Pr 140.91 Pr.upf
Sn 118.71 Sn.upf
CELL_PARAMETERS angstrom
2.7674 1.5978 9.4393
-2.7674 1.5978 9.4393
0.0000 -3.1955 9.4393
ATOMIC_POSITIONS crystal
Tb 0.0000 0.0000 0.0000
Pr 0.2201 0.2201 0.2201
Pr 0.3754 0.3754 0.3754
Pr 0.6246 0.6246 0.6246
Pr 0.7799 0.7799 0.7799
Sn 0.1067 0.1067 0.1067
Sn 0.8933 0.8933 0.8933

No. 18
! Rb2TeOsI6 | Alexandria via LeMat-Bulk | GGA-PBE | relaxed; values from VASP
! D(E_F)   11.72 states/eV/f.u.
! Formation energy from raw total energies   -356 meV per atom
&SYSTEM
  ibrav = 0, nat = 10, ntyp = 4
/
ATOMIC_SPECIES
Rb 85.47 Rb.upf
Te 127.60 Te.upf
Os 190.23 Os.upf
I 126.90 I.upf
CELL_PARAMETERS angstrom
-4.2682 4.2682 5.8672
4.2682 -4.2682 5.8672
4.2682 4.2682 -5.8672
ATOMIC_POSITIONS crystal
Rb 0.2500 0.7500 0.5000
Rb 0.7500 0.2500 0.5000
Te 0.0000 0.0000 0.0000
Os 0.5000 0.5000 0.0000
I 0.2653 0.2653 0.0000
I 0.2727 0.2727 0.5454
I 0.2727 0.7273 0.0000
I 0.7273 0.2727 0.0000
I 0.7273 0.7273 0.4546
I 0.7347 0.7347 0.0000

No. 19
! Ac2CdIn3Au4 | Alexandria via LeMat-Bulk | GGA-PBE | relaxed; values from VASP
! D(E_F)   5.46 states/eV/f.u.
! Formation energy from the elements   -0.556 eV/atom
&SYSTEM
  ibrav = 0, nat = 10, ntyp = 4
/
ATOMIC_SPECIES
Ac 227.00 Ac.upf
Cd 112.41 Cd.upf
In 114.82 In.upf
Au 196.97 Au.upf
CELL_PARAMETERS angstrom
4.7828 0.0000 0.0000
0.0000 4.7828 0.0000
0.0000 0.0000 11.2157
ATOMIC_POSITIONS crystal
Ac 0.0000 0.5000 0.2413
Ac 0.5000 0.0000 0.7587
Cd 0.0000 0.0000 0.5000
In 0.0000 0.5000 0.8737
In 0.5000 0.0000 0.1263
In 0.5000 0.5000 0.5000
Au 0.0000 0.0000 0.0000
Au 0.0000 0.5000 0.6345
Au 0.5000 0.0000 0.3655
Au 0.5000 0.5000 0.0000

No. 20
! CsAcTeO4 | Alexandria via LeMat-Bulk | GGA-PBE | relaxed; values from VASP
! D(E_F)   0.00 states/eV/f.u.
! Formation energy from raw total energies   -2019 meV per atom
&SYSTEM
  ibrav = 0, nat = 14, ntyp = 4
/
ATOMIC_SPECIES
Cs 132.91 Cs.upf
Ac 227.00 Ac.upf
Te 127.60 Te.upf
O 16.00 O.upf
CELL_PARAMETERS angstrom
6.1845 0.0000 0.0000
0.0000 6.3622 0.0000
-2.7064 0.0000 8.2930
ATOMIC_POSITIONS crystal
Cs 0.0885 0.2500 0.1353
Cs 0.9115 0.7500 0.8647
Ac 0.1923 0.7500 0.4687
Ac 0.8077 0.2500 0.5313
Te 0.3902 0.2500 0.7422
Te 0.6098 0.7500 0.2578
O 0.1602 0.0145 0.6763
O 0.1602 0.4855 0.6763
O 0.2626 0.7500 0.2041
O 0.3901 0.2500 0.5183
O 0.6099 0.7500 0.4817
O 0.7374 0.2500 0.7959
O 0.8398 0.5145 0.3237
O 0.8398 0.9855 0.3237

No. 21
! Te2WBr | Alexandria via LeMat-Bulk | GGA-PBE | relaxed; values from VASP
! D(E_F)   4.21 states/eV/f.u.
! Formation energy from raw total energies   487 meV per atom
! Energy relative to the lowest polymorph listed for this composition   9.599 kcal/mol of atoms
&SYSTEM
  ibrav = 0, nat = 4, ntyp = 3
/
ATOMIC_SPECIES
Te 127.60 Te.upf
W 183.84 W.upf
Br 79.90 Br.upf
CELL_PARAMETERS angstrom
1.7312 -2.6876 0.0000
1.7312 2.6876 0.0000
0.0000 0.0000 10.7138
ATOMIC_POSITIONS crystal
Te 0.0000 0.0000 0.2020
Te 0.0000 0.0000 0.7980
W 0.5000 0.5000 0.0000
Br 0.5000 0.5000 0.5000

No. 22
! GaAgSn | Alexandria via LeMat-Bulk | GGA-PBE | relaxed; values from VASP
! D(E_F)   0.65 states/eV/f.u.
! Formation energy from the elements   0.053 eV/atom
&SYSTEM
  ibrav = 0, nat = 6, ntyp = 3
/
ATOMIC_SPECIES
Ga 69.72 Ga.upf
Ag 107.87 Ag.upf
Sn 118.71 Sn.upf
CELL_PARAMETERS angstrom
3.8936 -2.3636 0.0000
3.8936 2.3636 0.0000
-1.9909 0.0000 7.2021
ATOMIC_POSITIONS crystal
Ga 0.0000 0.0000 0.0000
Ga 0.5000 0.5000 0.5000
Ag 0.1305 0.1305 0.3914
Ag 0.8695 0.8695 0.6086
Sn 0.2896 0.2896 0.8243
Sn 0.7104 0.7104 0.1757

No. 23
! Rh2ClF | Alexandria via LeMat-Bulk | GGA-PBE | relaxed; values from VASP
! D(E_F)   5.71 states/eV/f.u.
! Formation energy from raw total energies   235 meV per atom
! Energy relative to the lowest polymorph listed for this composition   1.542 kcal/mol of atoms
&SYSTEM
  ibrav = 0, nat = 4, ntyp = 3
/
ATOMIC_SPECIES
Rh 102.91 Rh.upf
Cl 35.45 Cl.upf
F 19.00 F.upf
CELL_PARAMETERS angstrom
0.0000 2.9905 2.9905
2.9905 0.0000 2.9905
2.9905 2.9905 0.0000
ATOMIC_POSITIONS crystal
Rh 0.2500 0.2500 0.2500
Rh 0.7500 0.7500 0.7500
Cl 0.0000 0.0000 0.0000
F 0.5000 0.5000 0.5000

No. 24
! ZrVCr2Br | Alexandria via LeMat-Bulk | GGA-PBE | relaxed; values from VASP
! D(E_F)   6.93 states/eV/f.u.
! Formation energy from raw total energies   1039 meV per atom
&SYSTEM
  ibrav = 0, nat = 5, ntyp = 4
/
ATOMIC_SPECIES
Zr 91.22 Zr.upf
V 50.94 V.upf
Cr 52.00 Cr.upf
Br 79.90 Br.upf
CELL_PARAMETERS angstrom
4.4890 0.0000 0.0000
0.0000 4.4890 0.0000
0.0000 0.0000 5.2447
ATOMIC_POSITIONS crystal
Zr 0.0000 0.0000 0.0000
V 0.0000 0.0000 0.5000
Cr 0.0000 0.5000 0.5000
Cr 0.5000 0.0000 0.5000
Br 0.5000 0.5000 0.0000

No. 25
! BaEr2PdO5 | Alexandria via LeMat-Bulk | GGA-PBE | relaxed; values from VASP
! Formation energy from raw total energies   -2496 meV per atom
&SYSTEM
  ibrav = 0, nat = 18, ntyp = 4
/
ATOMIC_SPECIES
Ba 137.33 Ba.upf
Er 167.26 Er.upf
Pd 106.42 Pd.upf
O 16.00 O.upf
CELL_PARAMETERS angstrom
-3.2516 3.2516 6.1037
3.2516 -3.2516 6.1037
3.2516 3.2516 -6.1037
ATOMIC_POSITIONS crystal
Ba 0.2500 0.2500 0.0000
Ba 0.7500 0.7500 0.0000
Er 0.1722 0.6722 0.8444
Er 0.3278 0.1722 0.5000
Er 0.6722 0.8278 0.5000
Er 0.8278 0.3278 0.1556
Pd 0.2500 0.7500 0.5000
Pd 0.7500 0.2500 0.5000
O 0.0000 0.0000 0.0000
O 0.0264 0.2445 0.5000
O 0.2445 0.7445 0.2181
O 0.2555 0.4736 0.5000
O 0.4736 0.9736 0.2181
O 0.5000 0.5000 0.0000
O 0.5264 0.0264 0.7819
O 0.7445 0.5264 0.5000
O 0.7555 0.2555 0.7819
O 0.9736 0.7555 0.5000

Here are the calculated E_tot numbers, same order: -5.693, -5.519, -3.157, -9.913, -5.530, -4.933, -4.002, -5.244, -5.646, -9.401, -1.631, -4.880, -4.437, -5.400, -4.520, -9.826, -4.800, -2.917, -3.602, -6.010, -4.740, -3.241, -4.370, -6.679, -7.055 (eV/atom).